(1)
This record from Alexandria describes a relaxed structure of Pm2ScHg6. The functional is PBE-GGA.

D(E_F)   8.90 states/eV per cell
Electronic total energy   -41.852 eV/cell
Space-group type   C2/c

Lattice parameters (Å, degrees): 9.3004 9.3004 5.4265 97.74 97.74 78.18
Fractional positions:
Pm  0.0416  0.2932  0.0810
Pm  0.2932  0.0416  0.5810
Pm  0.7068  0.9584  0.4190
Pm  0.9584  0.7068  0.9190
Sc  0.3791  0.6209  0.7500
Sc  0.6209  0.3791  0.2500
Hg  0.0768  0.8101  0.4729
Hg  0.1630  0.4107  0.6373
Hg  0.1899  0.9232  0.0271
Hg  0.2744  0.5155  0.1946
Hg  0.4107  0.1630  0.1373
Hg  0.4845  0.7256  0.3054
Hg  0.5155  0.2744  0.6946
Hg  0.5893  0.8370  0.8627
Hg  0.7256  0.4845  0.8054
Hg  0.8101  0.0768  0.9729
Hg  0.8370  0.5893  0.3627
Hg  0.9232  0.1899  0.5271


(2)
This record from Alexandria describes a relaxed structure of Pm2ScHg5. The functional is PBE-GGA.

D(E_F)   12.06 states/eV per cell
Electronic total energy   -40.468 eV/cell
Space-group type   I4/mmm

Lattice parameters (Å, degrees): 5.1404 5.1404 14.9556 90.00 90.00 90.00
Fractional positions:
Pm  0.0000  0.0000  0.2387
Pm  0.0000  0.0000  0.7613
Pm  0.5000  0.5000  0.2613
Pm  0.5000  0.5000  0.7387
Sc  0.0000  0.0000  0.5000
Sc  0.5000  0.5000  0.0000
Hg  0.0000  0.0000  0.0000
Hg  0.0000  0.5000  0.1150
Hg  0.0000  0.5000  0.3850
Hg  0.0000  0.5000  0.6150
Hg  0.0000  0.5000  0.8850
Hg  0.5000  0.0000  0.1150
Hg  0.5000  0.0000  0.3850
Hg  0.5000  0.0000  0.6150
Hg  0.5000  0.0000  0.8850
Hg  0.5000  0.5000  0.5000


(3)
This record from Alexandria describes a relaxed structure of Pm2Sc3Hg4. The functional is PBE-GGA.

D(E_F)   15.77 states/eV per cell
Electronic total energy   -65.776 eV/cell
Space-group type   Cmce

Lattice parameters (Å, degrees): 9.1608 9.1608 8.0120 90.00 90.00 137.19
Fractional positions:
Pm  0.0990  0.9010  0.9054
Pm  0.4010  0.5990  0.4054
Pm  0.5990  0.4010  0.5946
Pm  0.9010  0.0990  0.0946
Sc  0.0000  0.0000  0.5000
Sc  0.0121  0.4879  0.7500
Sc  0.4879  0.0121  0.2500
Sc  0.5000  0.5000  0.0000
Sc  0.5121  0.9879  0.7500
Sc  0.9879  0.5121  0.2500
Hg  0.1717  0.8283  0.5247
Hg  0.1857  0.3143  0.7500
Hg  0.3143  0.1857  0.2500
Hg  0.3283  0.6717  0.0247
Hg  0.6717  0.3283  0.9753
Hg  0.6857  0.8143  0.7500
Hg  0.8143  0.6857  0.2500
Hg  0.8283  0.1717  0.4753


(4)
This record from Alexandria describes a relaxed structure of Pm2ScHg2. The functional is PBE-GGA.

D(E_F)   9.31 states/eV per cell
Electronic total energy   -35.958 eV/cell
Space-group type   Immm

Lattice parameters (Å, degrees): 3.8580 7.1604 10.0779 90.00 90.00 90.00
Fractional positions:
Pm  0.0000  0.0000  0.2163
Pm  0.0000  0.0000  0.7837
Pm  0.5000  0.5000  0.2837
Pm  0.5000  0.5000  0.7163
Sc  0.0000  0.5000  0.0000
Sc  0.5000  0.0000  0.5000
Hg  0.0000  0.2908  0.5000
Hg  0.0000  0.7092  0.5000
Hg  0.5000  0.2092  0.0000
Hg  0.5000  0.7908  0.0000


(5)
This record from Alexandria describes a relaxed structure of Pm4ScHg3. The functional is PBE-GGA.

D(E_F)   11.45 states/eV per cell
Electronic total energy   -28.754 eV/cell
Space-group type   Pmmm

Lattice parameters (Å, degrees): 3.7459 5.4060 11.0575 90.00 90.00 90.00
Fractional positions:
Pm  0.0000  0.0000  0.0000
Pm  0.0000  0.0000  0.5000
Pm  0.0000  0.5000  0.2418
Pm  0.0000  0.5000  0.7582
Sc  0.5000  0.5000  0.5000
Hg  0.5000  0.0000  0.2623
Hg  0.5000  0.0000  0.7377
Hg  0.5000  0.5000  0.0000


(6)
This record from Alexandria describes a relaxed structure of Pm5ScHg6. The functional is PBE-GGA.

D(E_F)   13.85 states/eV per cell
Electronic total energy   -37.354 eV/cell
Space-group type   C2/m

Lattice parameters (Å, degrees): 9.1993 9.1993 5.2849 106.53 106.53 48.94
Fractional positions:
Pm  0.0000  0.0000  0.0000
Pm  0.1626  0.1626  0.6624
Pm  0.3270  0.3270  0.3271
Pm  0.6730  0.6730  0.6729
Pm  0.8374  0.8374  0.3376
Sc  0.5000  0.5000  0.0000
Hg  0.1057  0.5759  0.8409
Hg  0.2762  0.7238  0.5000
Hg  0.4241  0.8943  0.1591
Hg  0.5759  0.1057  0.8409
Hg  0.7238  0.2762  0.5000
Hg  0.8943  0.4241  0.1591


(7)
This record from Alexandria describes a relaxed structure of Pm4ScHg2. The functional is PBE-GGA.

D(E_F)   10.97 states/eV per cell
Electronic total energy   -26.259 eV/cell
Space-group type   R-3m

Lattice parameters (Å, degrees): 9.1995 9.1995 9.1995 34.70 34.70 34.70
Fractional positions:
Pm  0.1304  0.1304  0.1304
Pm  0.2702  0.2702  0.2702
Pm  0.7298  0.7298  0.7298
Pm  0.8696  0.8696  0.8696
Sc  0.5000  0.5000  0.5000
Hg  0.3906  0.3906  0.3906
Hg  0.6094  0.6094  0.6094


(8)
This record from Alexandria describes a relaxed structure of Pm3ScHg. The functional is PBE-GGA.

D(E_F)   10.03 states/eV per cell
Electronic total energy   -42.511 eV/cell
Space-group type   C2/m

Lattice parameters (Å, degrees): 6.7402 6.7402 8.0067 108.51 108.51 66.55
Fractional positions:
Pm  0.0435  0.0435  0.2283
Pm  0.0926  0.5791  0.3564
Pm  0.4209  0.9074  0.6436
Pm  0.5791  0.0926  0.3564
Pm  0.9074  0.4209  0.6436
Pm  0.9565  0.9565  0.7717
Sc  0.4398  0.4398  0.7577
Sc  0.5602  0.5602  0.2423
Hg  0.2777  0.2777  0.9980
Hg  0.7223  0.7223  0.0020


Calculated V in order - 226.2; 197.6; 228.4; 139.2; 223.9; 320.4; 225.2; 154.4 Å³/f.u.
Calculated formation energy from the elements in order - -0.3647; -0.3615; -0.3539; -0.3085; -0.3143; -0.4549; -0.0460; -0.0741 eV/atom